Entry 1:
Density functional theory data (GGA-PBE) for a relaxed structure of CaPm2Pr9.

Cell lengths 5.254, 5.254, 15.743 Å; angles 90.00, 90.00, 90.00 degrees
Atoms (fractional coordinates):
Pm  0.000  0.000  0.333
Pm  0.000  0.000  0.667
Pr  0.000  0.500  0.500
Pr  0.000  0.500  0.171
Pr  0.500  0.500  0.000
Pr  0.500  0.000  0.829
Pr  0.000  0.500  0.829
Pr  0.500  0.500  0.334
Pr  0.500  0.500  0.666
Pr  0.500  0.000  0.171
Pr  0.500  0.000  0.500
Ca  0.000  0.000  0.000

Output
crystal system = tetragonal
DFT formation energy = 27 meV per atom
N(E_F) = 20.41 states/eV/f.u.
V = 36.22 Å³/atom
space group = P4/mmm, No. 123


Entry 2:
Density functional theory data (GGA-PBE) for a relaxed structure of CaPm2Pr.

Cell lengths 3.704, 3.704, 12.433 Å; angles 81.43, 81.43, 60.00 degrees
Atoms (fractional coordinates):
Pm  0.253  0.253  0.241
Pm  0.080  0.080  0.760
Ca  0.500  0.500  0.499
Pr  0.666  0.666  0.001

Output
polymorph energy (0 for the lowest one) = 0 meV/atom
crystal system = trigonal
DFT formation energy = 43 meV per atom
N(E_F) = 6.54 states/eV/f.u.
V = 36.38 Å³/atom
space group = R3m, No. 160


Question: N(E_F) of number 1 (CaPm2Pr9)?
Answer: 20.41 states/eV/f.u.


Question: Which formula does entry 2 have?
Answer: CaPm2Pr


Question: Which formula does entry 1 have?
Answer: CaPm2Pr9


What did the second record say?
Density functional theory data (GGA-PBE) for a relaxed structure of CaPm2Pr.

Cell lengths 3.704, 3.704, 12.433 Å; angles 81.43, 81.43, 60.00 degrees
Atoms (fractional coordinates):
Pm  0.253  0.253  0.241
Pm  0.080  0.080  0.760
Ca  0.500  0.500  0.499
Pr  0.666  0.666  0.001

Output
polymorph energy (0 for the lowest one) = 0 meV/atom
crystal system = trigonal
DFT formation energy = 43 meV per atom
N(E_F) = 6.54 states/eV/f.u.
V = 36.38 Å³/atom
space group = R3m, No. 160